Run one
VASP calculation (PBE) on a relaxed AcTbPmPr crystal. Values from VASP.

- DOS(E_F) (states/eV/cell) = 7.116
- crystal system = tetragonal

```
&SYSTEM
  ibrav = 0, nat = 4, ntyp = 4
/
ATOMIC_SPECIES
Ac 227.00 Ac.upf
Tb 158.93 Tb.upf
Pm 145.00 Pm.upf
Pr 140.91 Pr.upf
ATOMIC_POSITIONS crystal
Ac 0.000 0.000 0.000
Tb 0.500 0.500 0.000
Pm 0.250 0.750 0.500
Pr 0.750 0.250 0.500
CELL_PARAMETERS angstrom
-2.637 2.637 5.292
2.637 -2.637 5.292
2.637 2.637 -5.292
```


Run two
VASP calculation (PBE) on a relaxed AcTbPmPr crystal. Values from VASP.

- DOS(E_F) (states/eV/cell) = 8.164
- crystal system = cubic

```
&SYSTEM
  ibrav = 0, nat = 4, ntyp = 4
/
ATOMIC_SPECIES
Ac 227.00 Ac.upf
Tb 158.93 Tb.upf
Pm 145.00 Pm.upf
Pr 140.91 Pr.upf
ATOMIC_POSITIONS crystal
Ac 0.000 0.000 0.000
Tb 0.750 0.750 0.750
Pm 0.250 0.250 0.250
Pr 0.500 0.500 0.500
CELL_PARAMETERS angstrom
0.000 4.190 4.190
4.190 0.000 4.190
4.190 4.190 0.000
```


run one comes first in stability; the runner-up is 0.081 eV/atom higher.


Run one
VASP calculation (PBE) on a relaxed AcPmPrTm crystal. Values from VASP.

- DOS(E_F) (states/eV/cell) = 4.899
- crystal system = trigonal

```
&SYSTEM
  ibrav = 0, nat = 4, ntyp = 4
/
ATOMIC_SPECIES
Ac 227.00 Ac.upf
Pm 145.00 Pm.upf
Pr 140.91 Pr.upf
Tm 168.93 Tm.upf
ATOMIC_POSITIONS crystal
Ac 0.000 0.000 0.000
Pm 0.333 0.667 0.261
Pr 0.667 0.333 0.509
Tm 0.333 0.667 0.748
CELL_PARAMETERS angstrom
3.743 0.000 0.000
-1.872 3.242 0.000
0.000 0.000 11.960
```


Run two
VASP calculation (PBE) on a relaxed AcPmPrTm crystal. Values from VASP.

- DOS(E_F) (states/eV/cell) = 7.890
- crystal system = cubic

```
&SYSTEM
  ibrav = 0, nat = 4, ntyp = 4
/
ATOMIC_SPECIES
Ac 227.00 Ac.upf
Pm 145.00 Pm.upf
Pr 140.91 Pr.upf
Tm 168.93 Tm.upf
ATOMIC_POSITIONS crystal
Ac 0.000 0.000 0.000
Pm 0.250 0.250 0.250
Pr 0.500 0.500 0.500
Tm 0.750 0.750 0.750
CELL_PARAMETERS angstrom
0.000 4.174 4.174
4.174 0.000 4.174
4.174 4.174 0.000
```


run one comes first in stability; the runner-up is 0.058 eV/atom higher.


Run one
VASP calculation (PBE) on a relaxed Ac2PmPt crystal. Values from VASP.

- DOS(E_F) (states/eV/cell) = 5.740
- crystal system = tetragonal

```
&SYSTEM
  ibrav = 0, nat = 4, ntyp = 3
/
ATOMIC_SPECIES
Ac 227.00 Ac.upf
Pm 145.00 Pm.upf
Pt 195.08 Pt.upf
ATOMIC_POSITIONS crystal
Ac 0.000 0.000 0.197
Ac 0.000 0.000 0.803
Pm 0.500 0.500 0.500
Pt 0.500 0.500 0.000
CELL_PARAMETERS angstrom
3.858 0.000 0.000
0.000 3.858 0.000
0.000 0.000 9.074
```


Run two
VASP calculation (PBE) on a relaxed Ac2PmPt crystal. Values from VASP.

- DOS(E_F) (states/eV/cell) = 16.406
- crystal system = orthorhombic

```
&SYSTEM
  ibrav = 0, nat = 16, ntyp = 3
/
ATOMIC_SPECIES
Ac 227.00 Ac.upf
Pm 145.00 Pm.upf
Pt 195.08 Pt.upf
ATOMIC_POSITIONS crystal
Ac 0.179 0.066 0.173
Ac 0.179 0.434 0.173
Ac 0.321 0.566 0.673
Ac 0.321 0.934 0.673
Ac 0.679 0.066 0.327
Ac 0.679 0.434 0.327
Ac 0.821 0.566 0.827
Ac 0.821 0.934 0.827
Pm 0.038 0.250 0.660
Pm 0.462 0.750 0.160
Pm 0.538 0.250 0.840
Pm 0.962 0.750 0.340
Pt 0.124 0.750 0.950
Pt 0.376 0.250 0.450
Pt 0.624 0.750 0.550
Pt 0.876 0.250 0.050
CELL_PARAMETERS angstrom
7.551 0.000 0.000
0.000 10.598 0.000
0.000 0.000 6.936
```


Run three
VASP calculation (PBE) on a relaxed Ac2PmPt crystal. Values from VASP.

- DOS(E_F) (states/eV/cell) = 11.350
- crystal system = orthorhombic

```
&SYSTEM
  ibrav = 0, nat = 8, ntyp = 3
/
ATOMIC_SPECIES
Ac 227.00 Ac.upf
Pm 145.00 Pm.upf
Pt 195.08 Pt.upf
ATOMIC_POSITIONS crystal
Ac 0.137 0.863 0.567
Ac 0.137 0.863 0.933
Ac 0.863 0.137 0.067
Ac 0.863 0.137 0.433
Pm 0.406 0.594 0.750
Pm 0.594 0.406 0.250
Pt 0.260 0.740 0.250
Pt 0.740 0.260 0.750
CELL_PARAMETERS angstrom
2.029 -6.510 0.000
2.029 6.510 0.000
0.000 0.000 10.558
```


Run four
VASP calculation (PBE) on a relaxed Ac2PmPt crystal. Values from VASP.

- DOS(E_F) (states/eV/cell) = 5.322
- crystal system = trigonal

```
&SYSTEM
  ibrav = 0, nat = 4, ntyp = 3
/
ATOMIC_SPECIES
Ac 227.00 Ac.upf
Pm 145.00 Pm.upf
Pt 195.08 Pt.upf
ATOMIC_POSITIONS crystal
Ac 0.000 0.000 0.000
Ac 0.209 0.209 0.209
Pm 0.771 0.771 0.771
Pt 0.605 0.605 0.605
CELL_PARAMETERS angstrom
2.102 1.214 9.763
-2.102 1.214 9.763
0.000 -2.427 9.763
```


run two comes first in stability; the runner-up is 0.035 eV/atom higher.


Run one
VASP calculation (PBE) on a relaxed AcPm2Pt crystal. Values from VASP.

- DOS(E_F) (states/eV/cell) = 3.043
- crystal system = trigonal

```
&SYSTEM
  ibrav = 0, nat = 4, ntyp = 3
/
ATOMIC_SPECIES
Ac 227.00 Ac.upf
Pm 145.00 Pm.upf
Pt 195.08 Pt.upf
ATOMIC_POSITIONS crystal
Ac 0.000 0.000 0.000
Pm 0.423 0.423 0.423
Pm 0.577 0.577 0.577
Pt 0.500 0.500 0.500
CELL_PARAMETERS angstrom
1.810 1.045 11.574
-1.810 1.045 11.574
0.000 -2.090 11.574
```


Run two
VASP calculation (PBE) on a relaxed AcPm2Pt crystal. Values from VASP.

- DOS(E_F) (states/eV/cell) = 4.885
- crystal system = trigonal

```
&SYSTEM
  ibrav = 0, nat = 4, ntyp = 3
/
ATOMIC_SPECIES
Ac 227.00 Ac.upf
Pm 145.00 Pm.upf
Pt 195.08 Pt.upf
ATOMIC_POSITIONS crystal
Ac 0.000 0.000 0.000
Pm 0.225 0.225 0.225
Pm 0.446 0.446 0.446
Pt 0.836 0.836 0.836
CELL_PARAMETERS angstrom
2.067 1.193 9.498
-2.067 1.193 9.498
0.000 -2.386 9.498
```


Run three
VASP calculation (PBE) on a relaxed AcPm2Pt crystal. Values from VASP.

- DOS(E_F) (states/eV/cell) = 6.939
- crystal system = cubic

```
&SYSTEM
  ibrav = 0, nat = 4, ntyp = 3
/
ATOMIC_SPECIES
Ac 227.00 Ac.upf
Pm 145.00 Pm.upf
Pt 195.08 Pt.upf
ATOMIC_POSITIONS crystal
Ac 0.000 0.000 0.000
Pm 0.250 0.250 0.250
Pm 0.750 0.750 0.750
Pt 0.500 0.500 0.500
CELL_PARAMETERS angstrom
0.000 3.806 3.806
3.806 0.000 3.806
3.806 3.806 0.000
```


Run four
VASP calculation (PBE) on a relaxed AcPm2Pt crystal. Values from VASP.

- DOS(E_F) (states/eV/cell) = 4.334
- crystal system = tetragonal

```
&SYSTEM
  ibrav = 0, nat = 4, ntyp = 3
/
ATOMIC_SPECIES
Ac 227.00 Ac.upf
Pm 145.00 Pm.upf
Pt 195.08 Pt.upf
ATOMIC_POSITIONS crystal
Ac 0.000 0.000 0.000
Pm 0.500 0.500 0.321
Pm 0.500 0.500 0.679
Pt 0.000 0.000 0.500
CELL_PARAMETERS angstrom
3.696 0.000 0.000
0.000 3.696 0.000
0.000 0.000 9.195
```


run two comes first in stability; the runner-up is 0.006 eV/atom higher.


Run one
VASP calculation (PBE) on a relaxed AcPm2Pt crystal. Values from VASP.

- DOS(E_F) (states/eV/cell) = 17.432
- crystal system = orthorhombic

```
&SYSTEM
  ibrav = 0, nat = 16, ntyp = 3
/
ATOMIC_SPECIES
Ac 227.00 Ac.upf
Pm 145.00 Pm.upf
Pt 195.08 Pt.upf
ATOMIC_POSITIONS crystal
Ac 0.028 0.250 0.142
Ac 0.472 0.750 0.642
Ac 0.528 0.250 0.358
Ac 0.972 0.750 0.858
Pm 0.176 0.065 0.670
Pm 0.176 0.435 0.670
Pm 0.324 0.565 0.170
Pm 0.324 0.935 0.170
Pm 0.676 0.065 0.830
Pm 0.676 0.435 0.830
Pm 0.824 0.565 0.330
Pm 0.824 0.935 0.330
Pt 0.116 0.750 0.416
Pt 0.384 0.250 0.916
Pt 0.616 0.750 0.084
Pt 0.884 0.250 0.584
CELL_PARAMETERS angstrom
7.420 0.000 0.000
0.000 10.221 0.000
0.000 0.000 6.760
```


Run two
VASP calculation (PBE) on a relaxed AcPm2Pt crystal. Values from VASP.

- DOS(E_F) (states/eV/cell) = 11.525
- crystal system = orthorhombic

```
&SYSTEM
  ibrav = 0, nat = 8, ntyp = 3
/
ATOMIC_SPECIES
Ac 227.00 Ac.upf
Pm 145.00 Pm.upf
Pt 195.08 Pt.upf
ATOMIC_POSITIONS crystal
Ac 0.078 0.922 0.750
Ac 0.922 0.078 0.250
Pm 0.358 0.642 0.565
Pm 0.358 0.642 0.935
Pm 0.642 0.358 0.065
Pm 0.642 0.358 0.435
Pt 0.227 0.773 0.250
Pt 0.773 0.227 0.750
CELL_PARAMETERS angstrom
1.999 -6.211 0.000
1.999 6.211 0.000
0.000 0.000 10.209
```


run one comes first in stability; the runner-up is 0.021 eV/atom higher.


Run one
VASP calculation (PBE) on a relaxed AcPmPt2 crystal. Values from VASP.

- DOS(E_F) (states/eV/cell) = 4.844
- crystal system = monoclinic

```
&SYSTEM
  ibrav = 0, nat = 8, ntyp = 3
/
ATOMIC_SPECIES
Ac 227.00 Ac.upf
Pm 145.00 Pm.upf
Pt 195.08 Pt.upf
ATOMIC_POSITIONS crystal
Ac 0.230 0.250 0.186
Ac 0.770 0.750 0.814
Pm 0.226 0.250 0.678
Pm 0.774 0.750 0.322
Pt 0.313 0.750 0.463
Pt 0.325 0.750 0.947
Pt 0.675 0.250 0.053
Pt 0.687 0.250 0.537
CELL_PARAMETERS angstrom
5.977 0.000 0.000
0.000 4.595 0.000
-2.744 0.000 7.548
```


Run two
VASP calculation (PBE) on a relaxed AcPmPt2 crystal. Values from VASP.

- DOS(E_F) (states/eV/cell) = 3.856
- crystal system = cubic

```
&SYSTEM
  ibrav = 0, nat = 4, ntyp = 3
/
ATOMIC_SPECIES
Ac 227.00 Ac.upf
Pm 145.00 Pm.upf
Pt 195.08 Pt.upf
ATOMIC_POSITIONS crystal
Ac 0.000 0.000 0.000
Pm 0.500 0.500 0.500
Pt 0.250 0.250 0.250
Pt 0.750 0.750 0.750
CELL_PARAMETERS angstrom
0.000 3.688 3.688
3.688 0.000 3.688
3.688 3.688 0.000
```


run one comes first in stability; the runner-up is 0.149 eV/atom higher.


Run one
VASP calculation (PBE) on a relaxed AcPmPt crystal. Values from VASP.

- DOS(E_F) (states/eV/cell) = 12.815
- crystal system = monoclinic

```
&SYSTEM
  ibrav = 0, nat = 12, ntyp = 3
/
ATOMIC_SPECIES
Ac 227.00 Ac.upf
Pm 145.00 Pm.upf
Pt 195.08 Pt.upf
ATOMIC_POSITIONS crystal
Ac 0.143 0.085 0.383
Ac 0.143 0.415 0.883
Ac 0.857 0.585 0.117
Ac 0.857 0.915 0.617
Pm 0.366 0.576 0.614
Pm 0.366 0.924 0.114
Pm 0.634 0.076 0.886
Pm 0.634 0.424 0.386
Pt 0.366 0.741 0.361
Pt 0.366 0.759 0.861
Pt 0.634 0.241 0.139
Pt 0.634 0.259 0.639
CELL_PARAMETERS angstrom
6.976 0.000 0.000
0.000 7.304 0.000
-6.517 0.000 8.310
```


Run two
VASP calculation (PBE) on a relaxed AcPmPt crystal. Values from VASP.

- DOS(E_F) (states/eV/cell) = 3.749
- crystal system = cubic

```
&SYSTEM
  ibrav = 0, nat = 3, ntyp = 3
/
ATOMIC_SPECIES
Ac 227.00 Ac.upf
Pm 145.00 Pm.upf
Pt 195.08 Pt.upf
ATOMIC_POSITIONS crystal
Ac 0.000 0.000 0.000
Pm 0.500 0.500 0.500
Pt 0.250 0.250 0.250
CELL_PARAMETERS angstrom
0.000 3.651 3.651
3.651 0.000 3.651
3.651 3.651 0.000
```


Run three
VASP calculation (PBE) on a relaxed AcPmPt crystal. Values from VASP.

- DOS(E_F) (states/eV/cell) = 5.924
- crystal system = monoclinic

```
&SYSTEM
  ibrav = 0, nat = 6, ntyp = 3
/
ATOMIC_SPECIES
Ac 227.00 Ac.upf
Pm 145.00 Pm.upf
Pt 195.08 Pt.upf
ATOMIC_POSITIONS crystal
Ac 0.250 0.250 0.116
Ac 0.750 0.750 0.884
Pm 0.250 0.750 0.500
Pm 0.750 0.250 0.500
Pt 0.250 0.250 0.711
Pt 0.750 0.750 0.289
CELL_PARAMETERS angstrom
3.557 -3.557 0.000
3.557 3.557 0.000
-0.008 0.000 7.333
```


Run four
VASP calculation (PBE) on a relaxed AcPmPt crystal. Values from VASP.

- DOS(E_F) (states/eV/cell) = 7.209
- crystal system = monoclinic

```
&SYSTEM
  ibrav = 0, nat = 6, ntyp = 3
/
ATOMIC_SPECIES
Ac 227.00 Ac.upf
Pm 145.00 Pm.upf
Pt 195.08 Pt.upf
ATOMIC_POSITIONS crystal
Ac 0.108 0.250 0.216
Ac 0.892 0.750 0.784
Pm 0.374 0.250 0.742
Pm 0.626 0.750 0.258
Pt 0.233 0.750 0.473
Pt 0.767 0.250 0.527
CELL_PARAMETERS angstrom
5.209 0.000 0.000
0.000 5.348 0.000
-2.564 0.000 6.640
```


run three comes first in stability; the runner-up is 0.039 eV/atom higher.


Run one
VASP calculation (PBE) on a relaxed Ac2PmPu crystal. Values from VASP.

- DOS(E_F) (states/eV/cell) = 10.893
- crystal system = tetragonal

```
&SYSTEM
  ibrav = 0, nat = 4, ntyp = 3
/
ATOMIC_SPECIES
Ac 227.00 Ac.upf
Pm 145.00 Pm.upf
Pu 244.00 Pu.upf
ATOMIC_POSITIONS crystal
Ac 0.000 0.000 0.244
Ac 0.000 0.000 0.756
Pm 0.500 0.500 0.500
Pu 0.500 0.500 0.000
CELL_PARAMETERS angstrom
3.801 0.000 0.000
0.000 3.801 0.000
0.000 0.000 10.460
```


Run two
VASP calculation (PBE) on a relaxed Ac2PmPu crystal. Values from VASP.

- DOS(E_F) (states/eV/cell) = 15.192
- crystal system = cubic

```
&SYSTEM
  ibrav = 0, nat = 4, ntyp = 3
/
ATOMIC_SPECIES
Ac 227.00 Ac.upf
Pm 145.00 Pm.upf
Pu 244.00 Pu.upf
ATOMIC_POSITIONS crystal
Ac 0.250 0.250 0.250
Ac 0.750 0.750 0.750
Pm 0.000 0.000 0.000
Pu 0.500 0.500 0.500
CELL_PARAMETERS angstrom
0.000 4.234 4.234
4.234 0.000 4.234
4.234 4.234 0.000
```


run one comes first in stability; the runner-up is 0.084 eV/atom higher.


Run one
VASP calculation (PBE) on a relaxed Ac2PmPu crystal. Values from VASP.

- DOS(E_F) (states/eV/cell) = 12.867
- crystal system = trigonal

```
&SYSTEM
  ibrav = 0, nat = 4, ntyp = 3
/
ATOMIC_SPECIES
Ac 227.00 Ac.upf
Pm 145.00 Pm.upf
Pu 244.00 Pu.upf
ATOMIC_POSITIONS crystal
Ac 0.088 0.088 0.088
Ac 0.912 0.912 0.912
Pm 0.500 0.500 0.500
Pu 0.000 0.000 0.000
CELL_PARAMETERS angstrom
1.862 1.075 13.069
-1.862 1.075 13.069
0.000 -2.150 13.069
```


Run two
VASP calculation (PBE) on a relaxed Ac2PmPu crystal. Values from VASP.

- DOS(E_F) (states/eV/cell) = 16.995
- crystal system = tetragonal

```
&SYSTEM
  ibrav = 0, nat = 4, ntyp = 3
/
ATOMIC_SPECIES
Ac 227.00 Ac.upf
Pm 145.00 Pm.upf
Pu 244.00 Pu.upf
ATOMIC_POSITIONS crystal
Ac 0.000 0.500 0.000
Ac 0.500 0.000 0.000
Pm 0.000 0.000 0.500
Pu 0.500 0.500 0.500
CELL_PARAMETERS angstrom
5.395 0.000 0.000
0.000 5.395 0.000
0.000 0.000 5.137
```


run two comes first in stability; the runner-up is 0.151 eV/atom higher.


Run one
VASP calculation (PBE) on a relaxed AcPm2Pu crystal. Values from VASP.

- DOS(E_F) (states/eV/cell) = 11.292
- crystal system = trigonal

```
&SYSTEM
  ibrav = 0, nat = 4, ntyp = 3
/
ATOMIC_SPECIES
Ac 227.00 Ac.upf
Pm 145.00 Pm.upf
Pu 244.00 Pu.upf
ATOMIC_POSITIONS crystal
Ac 0.000 0.000 0.000
Pm 0.578 0.578 0.578
Pm 0.755 0.755 0.755
Pu 0.166 0.166 0.166
CELL_PARAMETERS angstrom
1.855 1.071 11.892
-1.855 1.071 11.892
0.000 -2.142 11.892
```


Run two
VASP calculation (PBE) on a relaxed AcPm2Pu crystal. Values from VASP.

- DOS(E_F) (states/eV/cell) = 16.023
- crystal system = cubic

```
&SYSTEM
  ibrav = 0, nat = 4, ntyp = 3
/
ATOMIC_SPECIES
Ac 227.00 Ac.upf
Pm 145.00 Pm.upf
Pu 244.00 Pu.upf
ATOMIC_POSITIONS crystal
Ac 0.000 0.000 0.000
Pm 0.250 0.250 0.250
Pm 0.750 0.750 0.750
Pu 0.500 0.500 0.500
CELL_PARAMETERS angstrom
0.000 4.144 4.144
4.144 0.000 4.144
4.144 4.144 0.000
```


run one comes first in stability; the runner-up is 0.108 eV/atom higher.


Run one
VASP calculation (PBE) on a relaxed AcPm2Pu crystal. Values from VASP.

- DOS(E_F) (states/eV/cell) = 13.661
- crystal system = tetragonal

```
&SYSTEM
  ibrav = 0, nat = 4, ntyp = 3
/
ATOMIC_SPECIES
Ac 227.00 Ac.upf
Pm 145.00 Pm.upf
Pu 244.00 Pu.upf
ATOMIC_POSITIONS crystal
Ac 0.000 0.000 0.000
Pm 0.000 0.500 0.500
Pm 0.500 0.000 0.500
Pu 0.500 0.500 0.000
CELL_PARAMETERS angstrom
6.058 0.000 0.000
0.000 6.058 0.000
0.000 0.000 3.854
```


Run two
VASP calculation (PBE) on a relaxed AcPm2Pu crystal. Values from VASP.

- DOS(E_F) (states/eV/cell) = 10.384
- crystal system = tetragonal

```
&SYSTEM
  ibrav = 0, nat = 4, ntyp = 3
/
ATOMIC_SPECIES
Ac 227.00 Ac.upf
Pm 145.00 Pm.upf
Pu 244.00 Pu.upf
ATOMIC_POSITIONS crystal
Ac 0.000 0.000 0.000
Pm 0.500 0.500 0.272
Pm 0.500 0.500 0.728
Pu 0.000 0.000 0.500
CELL_PARAMETERS angstrom
3.704 0.000 0.000
0.000 3.704 0.000
0.000 0.000 10.251
```


run two comes first in stability; the runner-up is 0.105 eV/atom higher.